Record 1
A geometry-optimized Ho11Al9Ag4 structure, computed with PBE.

```
Ho11Al9Ag4
1.0
7.1238 -10.7118 0.0000
7.1238 10.7118 0.0000
0.0000 0.0000 3.6125
Ho Al Ag
11 9 4
Direct
0.0000 0.0000 0.0000 Ho
0.0574 0.4089 0.0000 Ho
0.1611 0.8389 0.0000 Ho
0.2915 0.2915 0.0000 Ho
0.3619 0.6381 0.0000 Ho
0.4089 0.0574 0.0000 Ho
0.5911 0.9426 0.0000 Ho
0.6381 0.3619 0.0000 Ho
0.7085 0.7085 0.0000 Ho
0.8389 0.1611 0.0000 Ho
0.9426 0.5911 0.0000 Ho
0.0695 0.2126 0.5000 Al
0.1598 0.6341 0.5000 Al
0.2126 0.0695 0.5000 Al
0.3659 0.8402 0.5000 Al
0.5000 0.5000 0.5000 Al
0.6341 0.1598 0.5000 Al
0.7874 0.9305 0.5000 Al
0.8402 0.3659 0.5000 Al
0.9305 0.7874 0.5000 Al
0.2471 0.4480 0.5000 Ag
0.4480 0.2471 0.5000 Ag
0.5520 0.7529 0.5000 Ag
0.7529 0.5520 0.5000 Ag
```

Uncorrected energy: -4.33 eV per atom
Energy of formation from the pure elements: -34.4 kJ per mole of atoms
DOS at the Fermi energy: 0.5527 states/eV/atom
Space group: Cmmm



Record 2
A geometry-optimized CsBaIn2 structure, computed with PBE.

```
CsBaIn2
1.0
8.7954 0.0000 0.0000
0.0000 8.7954 0.0000
0.0000 0.0000 8.7954
Cs Ba In
4 4 8
Direct
0.0000 0.0000 0.0000 Cs
0.0000 0.5000 0.5000 Cs
0.5000 0.0000 0.5000 Cs
0.5000 0.5000 0.0000 Cs
0.0000 0.0000 0.5000 Ba
0.0000 0.5000 0.0000 Ba
0.5000 0.0000 0.0000 Ba
0.5000 0.5000 0.5000 Ba
0.2500 0.2500 0.2500 In
0.2500 0.2500 0.7500 In
0.2500 0.7500 0.2500 In
0.2500 0.7500 0.7500 In
0.7500 0.2500 0.2500 In
0.7500 0.2500 0.7500 In
0.7500 0.7500 0.2500 In
0.7500 0.7500 0.7500 In
```

Uncorrected energy: -2.13 eV per atom
Energy of formation from the pure elements: -6.0 kJ per mole of atoms
DOS at the Fermi energy: 0.9653 states/eV/atom
Space group: Fm-3m



Record 3
A geometry-optimized Nd2TmC structure, computed with PBE.

```
Nd2TmC
1.0
3.6191 0.0000 0.0000
-1.8095 3.1342 0.0000
0.0000 0.0000 29.6569
Nd Tm C
6 3 3
Direct
0.0000 0.0000 0.1185 Nd
0.0000 0.0000 0.8815 Nd
0.3333 0.6667 0.5481 Nd
0.3333 0.6667 0.7852 Nd
0.6667 0.3333 0.2148 Nd
0.6667 0.3333 0.4519 Nd
0.0000 0.0000 0.0000 Tm
0.3333 0.6667 0.6667 Tm
0.6667 0.3333 0.3333 Tm
0.0000 0.0000 0.5000 C
0.3333 0.6667 0.1667 C
0.6667 0.3333 0.8333 C
```

Uncorrected energy: -5.72 eV per atom
Energy of formation from the pure elements: 8.5 kJ per mole of atoms
DOS at the Fermi energy: 1.0419 states/eV/atom
Space group: R-3m



Record 4
A geometry-optimized CsCd2NiBi structure, computed with PBE.

```
CsCd2NiBi
1.0
5.3172 0.0000 0.0000
0.0000 5.3172 0.0000
0.0000 0.0000 5.2341
Cs Cd Ni Bi
1 2 1 1
Direct
0.0000 0.0000 0.0000 Cs
0.0000 0.5000 0.5000 Cd
0.5000 0.0000 0.5000 Cd
0.5000 0.5000 0.5000 Ni
0.5000 0.5000 0.0000 Bi
```

Uncorrected energy: -2.45 eV per atom
Energy of formation from the pure elements: 2.3 kJ per mole of atoms
DOS at the Fermi energy: 0.7460 states/eV/atom
Space group: P4/mmm